Below is a crystal of CuRePt relaxed with PBEsol, with properties calculated at the SCAN level.

Geometry as CIF:
```
data_CuRePt
_chemical_formula_sum 'Cu4 Re4 Pt4'
_symmetry_space_group_name_H-M 'F -4 3 m'
_symmetry_Int_Tables_number 216
_symmetry_space_group_name_Hall 'F -4 2 3'
_cell_length_a 5.821
_cell_length_b 5.821
_cell_length_c 5.821
_cell_angle_alpha 90.00
_cell_angle_beta 90.00
_cell_angle_gamma 90.00
loop_
_atom_site_label
_atom_site_type_symbol
_atom_site_fract_x
_atom_site_fract_y
_atom_site_fract_z
Cu1 Cu 0.000 0.000 0.000
Re1 Re 0.250 0.250 0.750
Pt1 Pt 0.000 0.000 0.500
```

Results
The value obtained for the energy relative to the elements is 610 meV per atom. The calculation puts the density of states at the Fermi level at 0.201 states/eV/atom.


Below is a crystal of CuPtRh2 relaxed with PBEsol, with properties calculated at the SCAN level.

Geometry as CIF:
```
data_CuPtRh2
_chemical_formula_sum 'Cu2 Pt2 Rh4'
_symmetry_space_group_name_H-M 'C 1 m 1'
_symmetry_Int_Tables_number 8
_cell_length_a 8.799
_cell_length_b 2.688
_cell_length_c 4.626
_cell_angle_alpha 90.00
_cell_angle_beta 100.44
_cell_angle_gamma 90.00
loop_
_symmetry_equiv_pos_as_xyz
'x,y,z'
'x,-y,z'
'x+1/2,y+1/2,z'
'x+1/2,-y+1/2,z'
loop_
_atom_site_label
_atom_site_type_symbol
_atom_site_fract_x
_atom_site_fract_y
_atom_site_fract_z
Cu1 Cu 0.000 0.000 0.000
Pt1 Pt 0.249 0.000 0.761
Rh1 Rh 0.250 0.500 0.260
Rh2 Rh 0.497 0.000 0.491
```

Results
The value obtained for the energy relative to the elements is -33 meV per atom. Its excess energy over the best structure of this formula in the dataset is 37.7 meV per atom. The calculation puts the density of states at the Fermi level at 1.059 states/eV/atom.


Below is a crystal of Cu2PtRh relaxed with PBEsol, with properties calculated at the SCAN level.

Geometry as CIF:
```
data_Cu2PtRh
_chemical_formula_sum 'Cu4 Pt2 Rh2'
_symmetry_space_group_name_H-M 'C 1 m 1'
_symmetry_Int_Tables_number 8
_cell_length_a 8.765
_cell_length_b 2.680
_cell_length_c 4.498
_cell_angle_alpha 90.00
_cell_angle_beta 101.22
_cell_angle_gamma 90.00
loop_
_symmetry_equiv_pos_as_xyz
'x,y,z'
'x,-y,z'
'x+1/2,y+1/2,z'
'x+1/2,-y+1/2,z'
loop_
_atom_site_label
_atom_site_type_symbol
_atom_site_fract_x
_atom_site_fract_y
_atom_site_fract_z
Cu1 Cu 0.000 0.000 0.000
Cu2 Cu 0.247 0.500 0.235
Pt1 Pt 0.499 0.000 0.495
Rh1 Rh 0.249 0.000 0.742
```

Results
The value obtained for the energy relative to the elements is -29 meV per atom. Its excess energy over the best structure of this formula in the dataset is 51.1 meV per atom. The calculation puts the density of states at the Fermi level at 1.177 states/eV/atom.